Here is crystalline AsHBr2 at its relaxed geometry from Alexandria. Energies are from PBE-GGA.

Its crystal system is trigonal. The calculation puts the total magnetization at 0.0000 μB/atom. The total energy comes out at -2.3252 eV per atom.

It has space group R-3m (No. 166, hexagonal axes), with a = 3.4571 Å, b = 3.4571 Å, c = 23.6719 Å, α = 90.00°, β = 90.00° and γ = 120.00°. The asymmetric unit holds As at (0.0000, 0.0000, 0.0000), H at (0.0000, 0.0000, 0.5000) and Br at (0.0000, 0.0000, 0.1081).